No. 1
CdFeBiW | GGA-PBE | optimized geometry

Values from the calculation:
energy above the most stable polymorph in this dataset = 0 meV/atom
spin magnetization = 2.31 μB/cell

abc: 4.703 4.703 4.703
angles: 60.00 60.00 60.00
Positions (direct):
Bi1 0.000 0.000 0.000
W1 0.250 0.250 0.250
Fe1 0.750 0.750 0.750
Cd1 0.500 0.500 0.500



No. 2
URe | GGA-PBE | optimized geometry

Values from the calculation:
spin magnetization = 0.03 μB/cell
ΔE_f = 10.1 kcal/mol of atoms

abc: 3.053 3.053 4.601
angles: 90.00 90.00 120.00
Positions (direct):
U1 0.333 0.667 0.250
Re1 0.667 0.333 0.750



No. 3
Ta4NiPN2 | GGA-PBE | optimized geometry

Values from the calculation:
spin magnetization = 0.00 μB/cell
final energy = -10.010 eV/atom

abc: 3.197 3.197 11.973
angles: 90.00 90.00 120.00
Positions (direct):
N1 0.333 0.667 0.750
N2 0.333 0.667 0.250
P1 0.667 0.333 0.500
Ta1 0.000 0.000 0.645
Ta2 0.667 0.333 0.844
Ta3 0.000 0.000 0.355
Ta4 0.667 0.333 0.156
Ni1 0.000 0.000 0.000



No. 4
TlIr15 | GGA-PBE | optimized geometry

Values from the calculation:
energy above the most stable polymorph in this dataset = 80 meV/atom
spin magnetization = 0.01 μB/cell

abc: 7.728 2.742 35.885
angles: 90.00 90.01 90.00
Positions (direct):
Tl1 0.125 0.250 0.803
Tl2 0.875 0.750 0.197
Ir1 0.375 0.750 0.596
Ir2 0.125 0.250 0.481
Ir3 0.625 0.250 0.634
Ir4 0.375 0.750 0.672
Ir5 0.129 0.250 0.252
Ir6 0.125 0.250 0.558
Ir7 0.875 0.750 0.366
Ir8 0.125 0.250 0.328
Ir9 0.875 0.750 0.519
Ir10 0.625 0.250 0.404
Ir11 0.875 0.750 0.289
Ir12 0.875 0.750 0.442
Ir13 0.874 0.750 0.596
Ir14 0.375 0.750 0.443
Ir15 0.375 0.750 0.519
Ir16 0.125 0.250 0.634
Ir17 0.625 0.250 0.481
Ir18 0.625 0.250 0.557
Ir19 0.625 0.250 0.708
Ir20 0.620 0.250 0.252
Ir21 0.380 0.750 0.748
Ir22 0.625 0.250 0.783
Ir23 0.375 0.750 0.217
Ir24 0.375 0.750 0.292
Ir25 0.875 0.750 0.672
Ir26 0.375 0.750 0.366
Ir27 0.125 0.250 0.711
Ir28 0.625 0.250 0.328
Ir29 0.126 0.250 0.404
Ir30 0.871 0.750 0.748



No. 5
MgCuBi | GGA-PBE | optimized geometry

Values from the calculation:
final energy = -3.158 eV/atom

abc: 7.487 4.347 7.927
angles: 90.00 90.00 90.00
Positions (direct):
Bi1 0.718 0.250 0.086
Bi2 0.782 0.750 0.586
Bi3 0.218 0.250 0.414
Bi4 0.282 0.750 0.914
Mg1 0.460 0.750 0.241
Mg2 0.960 0.750 0.259
Mg3 0.540 0.250 0.759
Mg4 0.040 0.250 0.741
Cu1 0.412 0.750 0.574
Cu2 0.088 0.250 0.074
Cu3 0.912 0.750 0.926
Cu4 0.588 0.250 0.426



No. 6
HoSiHO4 | GGA-PBE | optimized geometry

Values from the calculation:
energy above the most stable polymorph in this dataset = 24 meV/atom
spin magnetization = 0.01 μB/cell

abc: 6.246 6.822 7.057
angles: 82.00 90.00 90.00
Positions (direct):
O1 0.444 0.816 0.764
O2 0.979 0.309 0.284
O3 0.021 0.691 0.716
O4 0.056 0.316 0.764
O5 0.794 0.983 0.924
O6 0.294 0.517 0.076
O7 0.206 0.017 0.076
O8 0.291 0.527 0.435
O9 0.944 0.684 0.236
O10 0.479 0.191 0.716
O11 0.791 0.973 0.565
O12 0.706 0.483 0.924
O13 0.709 0.473 0.565
O14 0.521 0.809 0.284
O15 0.556 0.184 0.236
O16 0.209 0.027 0.435
Ho1 0.362 0.500 0.776
Ho2 0.638 0.500 0.224
Ho3 0.862 0.000 0.224
Ho4 0.138 0.000 0.776
Si1 0.878 0.490 0.752
Si2 0.378 0.010 0.248
Si3 0.122 0.510 0.248
Si4 0.622 0.990 0.752
H1 0.630 0.340 0.604
H2 0.370 0.660 0.396
H3 0.870 0.840 0.604
H4 0.130 0.160 0.396



No. 7
Rb2MoI6 | GGA-PBE | optimized geometry

Values from the calculation:
spin magnetization = 2.00 μB/cell
final energy = -3.203 eV/atom

abc: 8.182 8.182 8.182
angles: 120.72 120.72 88.76
Positions (direct):
I1 0.779 0.264 0.043
I2 0.736 0.779 0.516
I3 0.264 0.221 0.484
I4 0.221 0.736 0.957
I5 0.762 0.762 0.000
I6 0.238 0.238 0.000
Rb1 0.750 0.250 0.500
Rb2 0.250 0.750 0.500
Mo1 0.000 0.000 0.000



No. 8
Sr3Pt2O7 | GGA-PBE | optimized geometry

Values from the calculation:
spin magnetization = 0.00 μB/cell
final energy = -5.917 eV/atom

abc: 10.614 10.614 10.614
angles: 158.45 158.45 30.66
Positions (direct):
Pt1 0.103 0.103 0.000
Pt2 0.897 0.897 0.000
O1 0.911 0.411 0.500
O2 0.798 0.798 0.000
O3 0.089 0.589 0.500
O4 0.411 0.911 0.500
O5 0.000 0.000 0.000
O6 0.202 0.202 0.000
O7 0.589 0.089 0.500
Sr1 0.500 0.500 0.000
Sr2 0.682 0.682 0.000
Sr3 0.318 0.318 0.000